(1)
LaRhBr2, relaxed, DFT GGA-PBE; energy relative to the elements, uncorrected = -69.3 kJ per mole of atoms
1.0
-3.712 -2.376 -3.599
1.608 -3.684 4.027
-3.644 -1.986 2.201
Br La Rh
2 1 1
Direct
0.000 0.000 0.000 Br
0.500 0.500 0.000 Br
0.500 0.000 0.500 La
0.000 0.500 0.500 Rh

(2)
Sb2AsIr, relaxed, DFT GGA-PBE; energy relative to the elements, uncorrected = 38.8 kJ per mole of atoms
1.0
4.945 0.000 0.000
-0.946 4.854 0.000
0.000 0.000 3.417
Ir Sb As
1 2 1
Direct
0.000 0.500 0.500 Ir
0.000 0.000 0.000 Sb
0.500 0.500 0.000 Sb
0.500 0.000 0.500 As

(3)
FeReTe3, relaxed, DFT GGA-PBE; energy relative to the elements, uncorrected = 145.2 kJ per mole of atoms
1.0
5.209 0.000 0.000
0.000 5.209 0.000
0.000 0.000 5.209
Te Re Fe
3 1 1
Direct
0.500 0.000 0.000 Te
0.000 0.000 0.500 Te
0.000 0.500 0.000 Te
0.000 0.000 0.000 Re
0.500 0.500 0.500 Fe

(4)
BaAuCl2, relaxed, DFT GGA-PBE; energy relative to the elements, uncorrected = -116.6 kJ per mole of atoms
1.0
4.505 0.000 0.000
0.000 4.505 0.000
0.000 0.000 5.859
Au Cl Ba
1 2 1
Direct
0.000 0.000 0.468 Au
0.000 0.000 0.953 Cl
0.500 0.500 0.291 Cl
0.500 0.500 0.788 Ba

(5)
Rb3Ce2O3F4, relaxed, DFT GGA-PBE; energy relative to the elements, uncorrected = -295.8 kJ per mole of atoms
1.0
4.765 0.000 0.000
0.000 4.409 0.000
-2.383 -2.205 11.800
Ce F O Rb
2 4 3 3
Direct
0.095 0.093 0.186 Ce
0.909 0.907 0.814 Ce
0.402 0.900 0.800 F
0.203 0.195 0.391 F
0.602 0.100 0.200 F
0.812 0.805 0.609 F
0.900 0.400 0.799 O
0.003 0.000 0.000 O
0.101 0.600 0.201 O
0.502 0.500 0.000 Rb
0.687 0.688 0.376 Rb
0.311 0.312 0.624 Rb

(6)
TmCu4Pd8, relaxed, DFT GGA-PBE; energy relative to the elements = -30.7 kJ per mole of atoms
1.0
4.631 0.000 1.861
2.315 6.312 0.931
-0.039 0.000 6.788
Pd Cu Tm
8 4 1
Direct
0.000 0.654 0.346 Pd
0.500 0.216 0.784 Pd
0.654 0.346 0.346 Pd
0.716 0.784 0.784 Pd
0.500 0.784 0.216 Pd
0.000 0.346 0.654 Pd
0.284 0.216 0.216 Pd
0.346 0.654 0.654 Pd
0.500 0.500 0.000 Cu
0.000 0.000 0.500 Cu
0.000 0.500 0.000 Cu
0.500 0.000 0.500 Cu
0.000 0.000 0.000 Tm

(7)
CaAcBi, relaxed, DFT GGA-PBE; energy relative to the elements = -42.4 kJ per mole of atoms
1.0
5.550 0.000 0.000
2.775 4.806 0.000
2.775 1.602 4.531
Bi Ac Ca
1 1 1
Direct
0.250 0.250 0.250 Bi
0.500 0.500 0.500 Ac
0.000 0.000 0.000 Ca

(8)
CeCoSiIr, relaxed, DFT GGA-PBE; energy relative to the elements, uncorrected = -57.6 kJ per mole of atoms
1.0
4.107 0.000 0.000
0.000 3.991 0.000
0.000 -1.995 4.144
Ir Co Ce Si
1 1 1 1
Direct
0.000 0.936 0.871 Ir
0.500 0.475 0.949 Co
0.500 0.214 0.428 Ce
0.000 0.603 0.207 Si

(9)
Pr3ErTh3Se8, relaxed, DFT GGA-PBE; energy relative to the elements, uncorrected = -167.4 kJ per mole of atoms
1.0
8.390 0.000 0.000
-4.195 7.266 -0.025
0.000 -4.820 6.933
Se Th Er Pr
8 3 1 3
Direct
0.251 0.502 0.252 Se
0.754 0.508 0.257 Se
0.754 0.003 0.257 Se
0.751 0.997 0.743 Se
0.246 0.492 0.743 Se
0.246 0.997 0.743 Se
0.749 0.498 0.748 Se
0.249 0.003 0.257 Se
0.500 0.000 0.500 Th
0.500 0.500 0.500 Th
0.000 0.500 0.500 Th
0.000 0.000 0.500 Er
0.000 0.500 0.000 Pr
0.500 0.500 0.000 Pr
0.000 0.000 0.000 Pr

(10)
DyCdRh, relaxed, DFT GGA-PBE; energy relative to the elements = -46.3 kJ per mole of atoms
1.0
4.652 0.000 0.000
2.326 4.029 0.000
2.326 1.343 3.798
Cd Rh Dy
1 1 1
Direct
0.500 0.500 0.500 Cd
0.250 0.250 0.250 Rh
0.000 0.000 0.000 Dy

(11)
Ba8CaAu4, relaxed, DFT GGA-PBE; energy relative to the elements = -43.1 kJ per mole of atoms
1.0
-2.990 1.895 -3.185
-7.571 -8.704 -1.630
-8.901 4.127 7.251
Ba Ca Au
8 1 4
Direct
0.215 0.671 0.899 Ba
0.816 0.332 0.035 Ba
0.474 0.340 0.712 Ba
0.179 0.009 0.633 Ba
0.852 0.995 0.300 Ba
0.885 0.673 0.557 Ba
0.146 0.331 0.378 Ba
0.557 0.664 0.222 Ba
0.516 0.002 0.967 Ca
0.662 0.172 0.505 Au
0.846 0.508 0.799 Au
0.369 0.832 0.429 Au
0.185 0.495 0.135 Au

(12)
Ho3SiB2Rh9, relaxed, DFT GGA-PBE; energy relative to the elements, uncorrected = -75.7 kJ per mole of atoms
1.0
-3.890 3.784 2.673
4.190 -2.858 3.298
4.717 5.633 -1.110
Ho Rh Si B
3 9 1 2
Direct
0.333 0.667 0.666 Ho
0.667 0.333 0.334 Ho
0.000 0.000 0.000 Ho
0.175 0.825 0.321 Rh
0.500 0.000 0.000 Rh
0.825 0.650 0.679 Rh
0.000 0.500 0.000 Rh
0.650 0.825 0.321 Rh
0.500 0.500 0.000 Rh
0.350 0.175 0.679 Rh
0.175 0.350 0.321 Rh
0.825 0.175 0.679 Rh
0.000 0.000 0.500 Si
0.333 0.667 0.151 B
0.667 0.333 0.849 B